Version one
First-principles (PBE) data for crystalline CaFe2W at its relaxed geometry, as listed in Alexandria via LeMat-Bulk.

CIF file:
```
data_CaFe2W
_chemical_formula_sum 'Ca3 Fe6 W3'
_space_group_name_H-M_alt 'R 3 m'
_space_group_IT_number 160
_space_group_name_Hall 'R 3 -2"'
_cell_length_a 2.9036
_cell_length_b 2.9036
_cell_length_c 26.9749
_cell_angle_alpha 90.00
_cell_angle_beta 90.00
_cell_angle_gamma 120.00
loop_
_atom_site_label
_atom_site_type_symbol
_atom_site_fract_x
_atom_site_fract_y
_atom_site_fract_z
Ca1 Ca 0.0000 0.0000 0.0000
Fe1 Fe 0.0000 0.0000 0.2399
Fe2 Fe 0.0000 0.0000 0.5075
W1 W 0.0000 0.0000 0.7674
```

Values from the calculation:
The value obtained for the density is 8.5 g/cm³. The value obtained for the magnetic moment is 4.3 μB/f.u.

Version two
First-principles (PBE) data for crystalline CaFe2W at its relaxed geometry, as listed in Alexandria via LeMat-Bulk.

CIF file:
```
data_CaFe2W
_chemical_formula_sum 'Ca2 Fe4 W2'
_space_group_name_H-M_alt 'I m m 2'
_space_group_IT_number 44
_space_group_name_Hall 'I 2 -2'
_cell_length_a 2.747
_cell_length_b 4.715
_cell_length_c 9.800
_cell_angle_alpha 90.00
_cell_angle_beta 90.00
_cell_angle_gamma 90.00
loop_
_atom_site_label
_atom_site_type_symbol
_atom_site_fract_x
_atom_site_fract_y
_atom_site_fract_z
Ca1 Ca 0.000 0.000 0.000
Fe1 Fe 0.000 0.000 0.521
Fe2 Fe 0.000 0.500 0.222
W1 W 0.000 0.500 0.792
```

Values from the calculation:
The value obtained for the density is 8.8 g/cm³. The value obtained for the magnetic moment is 3.1 μB/f.u.

Version three
First-principles (PBE) data for crystalline CaFe2W at its relaxed geometry, as listed in Alexandria via LeMat-Bulk.

CIF file:
```
data_CaFe2W
_chemical_formula_sum 'Ca4 Fe8 W4'
_space_group_name_H-M_alt 'F -4 3 m'
_space_group_IT_number 216
_space_group_name_Hall 'F -4 2 3'
_cell_length_a 6.274
_cell_length_b 6.274
_cell_length_c 6.274
_cell_angle_alpha 90.00
_cell_angle_beta 90.00
_cell_angle_gamma 90.00
loop_
_atom_site_label
_atom_site_type_symbol
_atom_site_fract_x
_atom_site_fract_y
_atom_site_fract_z
Ca1 Ca 0.000 0.000 0.000
Fe1 Fe 0.000 0.000 0.500
Fe2 Fe 0.250 0.250 0.250
W1 W 0.250 0.250 0.750
```

Values from the calculation:
The value obtained for the density is 9.0 g/cm³. The value obtained for the magnetic moment is 3.7 μB/f.u.

Computed relative energies in units of kJ/mol of atoms: version one 10.0; version two 0.0; version three 24.7

Version one
First-principles (PBE) data for crystalline CaFe2W at its relaxed geometry, as listed in Alexandria via LeMat-Bulk.

CIF file:
```
data_CaFe2W
_chemical_formula_sum 'Ca1 Fe2 W1'
_space_group_name_H-M_alt 'P 4/m m m'
_space_group_IT_number 123
_space_group_name_Hall '-P 4 2'
_cell_length_a 4.455
_cell_length_b 4.455
_cell_length_c 2.977
_cell_angle_alpha 90.00
_cell_angle_beta 90.00
_cell_angle_gamma 90.00
loop_
_atom_site_label
_atom_site_type_symbol
_atom_site_fract_x
_atom_site_fract_y
_atom_site_fract_z
Ca1 Ca 0.000 0.000 0.000
Fe1 Fe 0.000 0.500 0.500
W1 W 0.500 0.500 0.000
```

Values from the calculation:
The value obtained for the density is 9.4 g/cm³. The value obtained for the magnetic moment is 0.0 μB/f.u.

Version two
First-principles (PBE) data for crystalline CaFe2W at its relaxed geometry, as listed in Alexandria via LeMat-Bulk.

CIF file:
```
data_CaFe2W
_chemical_formula_sum 'Ca2 Fe4 W2'
_space_group_name_H-M_alt 'C 1 m 1'
_space_group_IT_number 8
_space_group_name_Hall 'C -2y'
_cell_length_a 10.276
_cell_length_b 2.696
_cell_length_c 4.835
_cell_angle_alpha 90.00
_cell_angle_beta 109.20
_cell_angle_gamma 90.00
loop_
_atom_site_label
_atom_site_type_symbol
_atom_site_fract_x
_atom_site_fract_y
_atom_site_fract_z
Ca1 Ca 0.000 0.000 0.000
Fe1 Fe 0.035 0.500 0.517
Fe2 Fe 0.225 0.000 0.784
W1 W 0.296 0.500 0.355
```

Values from the calculation:
The value obtained for the density is 8.8 g/cm³. The value obtained for the magnetic moment is 3.0 μB/f.u.

Version three
First-principles (PBE) data for crystalline CaFe2W at its relaxed geometry, as listed in Alexandria via LeMat-Bulk.

CIF file:
```
data_CaFe2W
_chemical_formula_sum 'Ca4 Fe8 W4'
_space_group_name_H-M_alt 'I -4 2 d'
_space_group_IT_number 122
_space_group_name_Hall 'I -4 2bw'
_cell_length_a 6.895
_cell_length_b 6.895
_cell_length_c 5.884
_cell_angle_alpha 90.00
_cell_angle_beta 90.00
_cell_angle_gamma 90.00
loop_
_atom_site_label
_atom_site_type_symbol
_atom_site_fract_x
_atom_site_fract_y
_atom_site_fract_z
Ca1 Ca 0.000 0.000 0.000
Fe1 Fe 0.197 0.250 0.625
W1 W 0.000 0.000 0.500
```

Values from the calculation:
The value obtained for the density is 8.0 g/cm³. The value obtained for the magnetic moment is 0.0 μB/f.u.

Computed relative energies in units of kJ/mol of atoms: version one 4.8; version two 0.0; version three 32.1

Version one
First-principles (PBE) data for crystalline CaFe2W at its relaxed geometry, as listed in Alexandria via LeMat-Bulk.

CIF file:
```
data_CaFe2W
_chemical_formula_sum 'Ca1 Fe2 W1'
_space_group_name_H-M_alt 'P 4/m m m'
_space_group_IT_number 123
_space_group_name_Hall '-P 4 2'
_cell_length_a 3.038
_cell_length_b 3.038
_cell_length_c 6.998
_cell_angle_alpha 90.00
_cell_angle_beta 90.00
_cell_angle_gamma 90.00
loop_
_atom_site_label
_atom_site_type_symbol
_atom_site_fract_x
_atom_site_fract_y
_atom_site_fract_z
Ca1 Ca 0.000 0.000 0.000
Fe1 Fe 0.500 0.500 0.310
W1 W 0.000 0.000 0.500
```

Values from the calculation:
The value obtained for the density is 8.6 g/cm³. The value obtained for the magnetic moment is 1.1 μB/f.u.

Version two
First-principles (PBE) data for crystalline CaFe2W at its relaxed geometry, as listed in Alexandria via LeMat-Bulk.

CIF file:
```
data_CaFe2W
_chemical_formula_sum 'Ca1 Fe2 W1'
_space_group_name_H-M_alt 'P 4 m m'
_space_group_IT_number 99
_space_group_name_Hall 'P 4 -2'
_cell_length_a 2.960
_cell_length_b 2.960
_cell_length_c 7.629
_cell_angle_alpha 90.00
_cell_angle_beta 90.00
_cell_angle_gamma 90.00
loop_
_atom_site_label
_atom_site_type_symbol
_atom_site_fract_x
_atom_site_fract_y
_atom_site_fract_z
Ca1 Ca 0.000 0.000 0.000
Fe1 Fe 0.000 0.000 0.474
Fe2 Fe 0.500 0.500 0.303
W1 W 0.500 0.500 0.671
```

Values from the calculation:
The value obtained for the density is 8.3 g/cm³. The value obtained for the magnetic moment is 4.6 μB/f.u.

Version three
First-principles (PBE) data for crystalline CaFe2W at its relaxed geometry, as listed in Alexandria via LeMat-Bulk.

CIF file:
```
data_CaFe2W
_chemical_formula_sum 'Ca2 Fe4 W2'
_space_group_name_H-M_alt 'I -4 m 2'
_space_group_IT_number 119
_space_group_name_Hall 'I -4 -2'
_cell_length_a 3.725
_cell_length_b 3.725
_cell_length_c 9.053
_cell_angle_alpha 90.00
_cell_angle_beta 90.00
_cell_angle_gamma 90.00
loop_
_atom_site_label
_atom_site_type_symbol
_atom_site_fract_x
_atom_site_fract_y
_atom_site_fract_z
Ca1 Ca 0.000 0.000 0.000
Fe1 Fe 0.000 0.000 0.500
Fe2 Fe 0.000 0.500 0.750
W1 W 0.000 0.500 0.250
```

Values from the calculation:
The value obtained for the density is 8.9 g/cm³. The value obtained for the magnetic moment is 2.7 μB/f.u.

Computed relative energies in units of kJ/mol of atoms: version one 0.0; version two 18.2; version three 54.4

Version one
First-principles (PBE) data for crystalline CaFe2W at its relaxed geometry, as listed in Alexandria via LeMat-Bulk.

CIF file:
```
data_CaFe2W
_chemical_formula_sum 'Ca2 Fe4 W2'
_space_group_name_H-M_alt 'C 1 2/m 1'
_space_group_IT_number 12
_space_group_name_Hall '-C 2y'
_cell_length_a 8.446
_cell_length_b 3.151
_cell_length_c 5.827
_cell_angle_alpha 90.00
_cell_angle_beta 103.28
_cell_angle_gamma 90.00
loop_
_atom_site_label
_atom_site_type_symbol
_atom_site_fract_x
_atom_site_fract_y
_atom_site_fract_z
Ca1 Ca 0.000 0.000 0.000
Fe1 Fe 0.224 0.000 0.636
W1 W 0.000 0.500 0.500
```

Values from the calculation:
The value obtained for the density is 7.4 g/cm³. The value obtained for the magnetic moment is 3.4 μB/f.u.

Version two
First-principles (PBE) data for crystalline CaFe2W at its relaxed geometry, as listed in Alexandria via LeMat-Bulk.

CIF file:
```
data_CaFe2W
_chemical_formula_sum 'Ca3 Fe6 W3'
_space_group_name_H-M_alt 'R -3 m'
_space_group_IT_number 166
_space_group_name_Hall '-R 3 2"'
_cell_length_a 3.0571
_cell_length_b 3.0571
_cell_length_c 24.9482
_cell_angle_alpha 90.00
_cell_angle_beta 90.00
_cell_angle_gamma 120.00
loop_
_atom_site_label
_atom_site_type_symbol
_atom_site_fract_x
_atom_site_fract_y
_atom_site_fract_z
Ca1 Ca 0.0000 0.0000 0.0000
Fe1 Fe 0.0000 0.0000 0.2364
W1 W 0.0000 0.0000 0.5000
```

Values from the calculation:
The value obtained for the density is 8.3 g/cm³. The value obtained for the magnetic moment is 2.5 μB/f.u.

Version three
First-principles (PBE) data for crystalline CaFe2W at its relaxed geometry, as listed in Alexandria via LeMat-Bulk.

CIF file:
```
data_CaFe2W
_chemical_formula_sum 'Ca2 Fe4 W2'
_space_group_name_H-M_alt 'A m m 2'
_space_group_IT_number 38
_space_group_name_Hall 'A 2 -2'
_cell_length_a 4.128
_cell_length_b 3.075
_cell_length_c 11.143
_cell_angle_alpha 90.00
_cell_angle_beta 90.00
_cell_angle_gamma 90.00
loop_
_atom_site_label
_atom_site_type_symbol
_atom_site_fract_x
_atom_site_fract_y
_atom_site_fract_z
Ca1 Ca 0.000 0.000 0.000
Fe1 Fe 0.000 0.000 0.744
Fe2 Fe 0.500 0.000 0.629
W1 W 0.500 0.000 0.290
```

Values from the calculation:
The value obtained for the density is 7.9 g/cm³. The value obtained for the magnetic moment is 2.9 μB/f.u.

Computed relative energies in units of kJ/mol of atoms: version one 0.0; version two 11.8; version three 2.5

Version one
First-principles (PBE) data for crystalline CaFeW2 at its relaxed geometry, as listed in Alexandria via LeMat-Bulk.

CIF file:
```
data_CaFeW2
_chemical_formula_sum 'Ca2 Fe2 W4'
_space_group_name_H-M_alt 'I 4/m m m'
_space_group_IT_number 139
_space_group_name_Hall '-I 4 2'
_cell_length_a 3.834
_cell_length_b 3.834
_cell_length_c 9.455
_cell_angle_alpha 90.00
_cell_angle_beta 90.00
_cell_angle_gamma 90.00
loop_
_atom_site_label
_atom_site_type_symbol
_atom_site_fract_x
_atom_site_fract_y
_atom_site_fract_z
Ca1 Ca 0.000 0.000 0.000
Fe1 Fe 0.000 0.000 0.500
W1 W 0.000 0.500 0.250
```

Values from the calculation:
The value obtained for the density is 11.1 g/cm³. The value obtained for the magnetic moment is 1.9 μB/f.u.

Version two
First-principles (PBE) data for crystalline CaFeW2 at its relaxed geometry, as listed in Alexandria via LeMat-Bulk.

CIF file:
```
data_CaFeW2
_chemical_formula_sum 'Ca1 Fe1 W2'
_space_group_name_H-M_alt 'P 1 m 1'
_space_group_IT_number 6
_space_group_name_Hall 'P -2y'
_cell_length_a 2.764
_cell_length_b 4.289
_cell_length_c 6.355
_cell_angle_alpha 90.00
_cell_angle_beta 99.91
_cell_angle_gamma 90.00
loop_
_atom_site_label
_atom_site_type_symbol
_atom_site_fract_x
_atom_site_fract_y
_atom_site_fract_z
Ca1 Ca 0.000 0.000 0.000
Fe1 Fe 0.773 0.500 0.307
W1 W 0.246 0.500 0.680
W2 W 0.484 0.000 0.489
```

Values from the calculation:
The value obtained for the density is 10.4 g/cm³. The value obtained for the magnetic moment is 2.3 μB/f.u.

Version three
First-principles (PBE) data for crystalline CaFeW2 at its relaxed geometry, as listed in Alexandria via LeMat-Bulk.

CIF file:
```
data_CaFeW2
_chemical_formula_sum 'Ca4 Fe4 W8'
_space_group_name_H-M_alt 'F -4 3 m'
_space_group_IT_number 216
_space_group_name_Hall 'F -4 2 3'
_cell_length_a 6.472
_cell_length_b 6.472
_cell_length_c 6.472
_cell_angle_alpha 90.00
_cell_angle_beta 90.00
_cell_angle_gamma 90.00
loop_
_atom_site_label
_atom_site_type_symbol
_atom_site_fract_x
_atom_site_fract_y
_atom_site_fract_z
Ca1 Ca 0.000 0.000 0.000
Fe1 Fe 0.250 0.250 0.750
W1 W 0.000 0.000 0.500
W2 W 0.250 0.250 0.250
```

Values from the calculation:
The value obtained for the density is 11.4 g/cm³. The value obtained for the magnetic moment is 2.1 μB/f.u.

Computed relative energies in units of kJ/mol of atoms: version one 27.9; version two 0.0; version three 14.1